Record 1
Computed, not measured: a relaxed structure of La4Tb5Dy2 at the PBE level of DFT.

Properties
- Offset from the most stable computed form: 0.00 eV per formula unit
- E_form: 0.086 eV per atom
- Calculated volume: 33.86 Å³ per atom
- Space group: No. 12

Lattice parameters (Å, degrees): 3.561 11.768 9.088 94.17 101.30 90.00
Element x y z (fractional)
La 0.359 0.204 0.718
La 0.962 0.738 0.925
La 0.641 0.796 0.282
La 0.038 0.262 0.075
Tb 0.902 0.461 0.805
Tb 0.098 0.539 0.195
Tb 0.822 0.929 0.643
Tb 0.500 0.000 0.000
Tb 0.178 0.071 0.357
Dy 0.715 0.358 0.431
Dy 0.285 0.642 0.569

Record 2
Computed, not measured: a relaxed structure of BeZnPt2 at the PBE level of DFT.

Properties
- Offset from the most stable computed form: 0.00 eV per formula unit
- E_form: -0.679 eV per atom
- Calculated volume: 13.11 Å³ per atom
- Space group: No. 123

Lattice parameters (Å, degrees): 2.800 2.800 6.693 90.00 90.00 90.00
Element x y z (fractional)
Be 0.500 0.500 0.750
Zn 0.500 0.500 0.250
Pt 0.000 0.000 0.968
Pt 0.000 0.000 0.532

Record 3
Computed, not measured: a relaxed structure of Ba2AsH at the PBE level of DFT.

Properties
- Offset from the most stable computed form: 0.72 eV per formula unit
- Calculated volume: 29.89 Å³ per atom
- Space group: No. 123

Lattice parameters (Å, degrees): 3.976 5.483 5.483 90.00 90.00 90.00
Element x y z (fractional)
H 0.500 0.000 0.000
As 0.500 0.500 0.500
Ba 0.000 0.000 0.500
Ba 0.000 0.500 0.000

Record 4
Computed, not measured: a relaxed structure of La2Zn2Pd3 at the PBE level of DFT.

Properties
- Offset from the most stable computed form: 0.00 eV per formula unit
- E_form: -0.726 eV per atom
- Calculated volume: 21.40 Å³ per atom
- Space group: No. 63

Lattice parameters (Å, degrees): 4.160 7.546 9.769 90.00 102.30 90.00
Element x y z (fractional)
La 0.154 0.250 0.309
La 0.846 0.750 0.691
La 0.936 0.250 0.872
La 0.064 0.750 0.128
Zn 0.694 0.944 0.389
Zn 0.306 0.056 0.611
Zn 0.306 0.444 0.611
Zn 0.694 0.556 0.389
Pd 0.225 0.750 0.450
Pd 0.775 0.250 0.550
Pd 0.566 0.439 0.132
Pd 0.434 0.561 0.868
Pd 0.434 0.939 0.868
Pd 0.566 0.061 0.132

Record 5
Computed, not measured: a relaxed structure of NdPa6 at the PBE level of DFT.

Properties
- E_form: 1.323 eV per atom
- Calculated volume: 32.23 Å³ per atom
- Space group: No. 229

Lattice parameters (Å, degrees): 6.643 6.643 6.643 109.47 109.47 109.47
Element x y z (fractional)
Nd 0.000 0.000 0.000
Pa 0.250 0.750 0.500
Pa 0.500 0.750 0.250
Pa 0.250 0.500 0.750
Pa 0.750 0.250 0.500
Pa 0.500 0.250 0.750
Pa 0.750 0.500 0.250

Record 6
Computed, not measured: a relaxed structure of ScZn2GaHg at the PBE level of DFT.

Properties
- E_form: 0.671 eV per atom
- Calculated volume: 30.99 Å³ per atom
- Space group: No. 123

Lattice parameters (Å, degrees): 5.295 5.527 5.295 90.00 90.00 90.00
Element x y z (fractional)
Sc 0.000 0.000 0.000
Zn 0.000 0.000 0.500
Zn 0.500 0.000 0.000
Hg 0.000 0.500 0.000
Ga 0.500 0.500 0.500

Record 7
Computed, not measured: a relaxed structure of Cu2SnTe3 at the PBE level of DFT.

Properties
- Offset from the most stable computed form: 0.42 eV per formula unit
- Calculated volume: 27.95 Å³ per atom
- Space group: No. 12

Lattice parameters (Å, degrees): 4.109 7.524 11.557 107.14 100.24 90.00
Element x y z (fractional)
Cu 0.282 0.601 0.563
Cu 0.718 0.399 0.437
Cu 0.952 0.859 0.903
Cu 0.048 0.141 0.097
Sn 0.355 0.985 0.710
Sn 0.645 0.015 0.290
Te 0.256 0.238 0.512
Te 0.058 0.796 0.117
Te 0.404 0.653 0.807
Te 0.744 0.762 0.488
Te 0.596 0.347 0.193
Te 0.942 0.204 0.883

Record 8
Computed, not measured: a relaxed structure of Li3CuI4 at the PBE level of DFT.

Properties
- DFT total energy: -2.94 eV per atom
- Calculated volume: 31.93 Å³ per atom
- Space group: No. 121

Lattice parameters (Å, degrees): 6.350 6.350 7.764 114.14 114.14 90.00
Element x y z (fractional)
Li 0.500 0.500 0.000
Li 0.750 0.250 0.500
Li 0.250 0.750 0.500
Cu 0.000 0.000 0.000
I 0.361 0.361 0.242
I 0.881 0.881 0.242
I 0.119 0.639 0.758
I 0.639 0.119 0.758